An optimized crystal structure of PrDyErTh. Source: Alexandria, functional PBE.

Structure (extended XYZ):
```
4
Lattice="1.7996 1.0390 11.5891 -1.7996 1.0390 11.5891 0.0000 -2.0780 11.5891" Properties=species:S:1:pos:R:3 pbc="T T T"
Pr 0.0000 0.0000 0.0000
Dy 0.0000 0.0000 8.5829
Er 0.0000 0.0000 14.5894
Th 0.0000 0.0000 28.9661
```

formation energy	15.8	meV per atom
ρ	9.0	g cm⁻³
E above lowest polymorph	0.00	eV per formula unit